Model 1:
The following is a DFT calculation (meta-GGA SCAN) of SiSe2Br at its PBEsol-relaxed geometry.

## Properties
crystal system: tetragonal

Unit cell a=5.6890 b=5.6890 c=5.5420 alpha=90.00 beta=90.00 gamma=90.00
Last column: nearest neighbours and their distance in Å.
Space group I4/mmm (No. 139)
Inequivalent atoms, fractional coordinates:
Si 0.0000 0.0000 0.0000 (multiplicity 2)  2 Br 2.77, 4 Se 2.84
Se 0.0000 0.5000 0.0000 (multiplicity 4)  2 Se 2.77, 2 Br 2.84, 2 Si 2.84
Br 0.0000 0.0000 0.5000 (multiplicity 2)  2 Si 2.77, 4 Se 2.84



Model 2:
The following is a DFT calculation (meta-GGA SCAN) of SiSe2Br at its PBEsol-relaxed geometry.

## Properties
crystal system: tetragonal

Unit cell a=3.8474 b=3.8474 c=5.7300 alpha=90.00 beta=90.00 gamma=90.00
Last column: nearest neighbours and their distance in Å.
Space group P4/mmm (No. 123)
Inequivalent atoms, fractional coordinates:
Si 0.0000 0.0000 0.0000 (multiplicity 1)  4 Br 2.72
Se 0.0000 0.5000 0.5000 (multiplicity 2)  4 Se 2.72
Br 0.5000 0.5000 0.0000 (multiplicity 1)  4 Si 2.72



Which structure is the most stable? The one labeled model 1.



Model 1:
The following is a DFT calculation (meta-GGA SCAN) of CoCu2Os at its PBEsol-relaxed geometry.

## Properties
crystal system: orthorhombic

Unit cell a=5.0575 b=7.6620 c=2.4808 alpha=90.00 beta=90.00 gamma=90.00
Last column: nearest neighbours and their distance in Å.
Space group Cmmm (No. 65)
Inequivalent atoms, fractional coordinates:
Co 0.0000 0.0000 0.0000 (multiplicity 2)  2 Co 2.48, 2 Os 2.53, 8 Cu 2.61
Cu 0.2500 0.2500 0.5000 (multiplicity 4)  4 Cu 2.48-2.53, 4 Co 2.61, 4 Os 2.61
Os 0.0000 0.5000 0.0000 (multiplicity 2)  2 Os 2.48, 2 Co 2.53, 8 Cu 2.61



Model 2:
The following is a DFT calculation (meta-GGA SCAN) of CoCu2Os at its PBEsol-relaxed geometry.

## Properties
crystal system: monoclinic

Unit cell a=8.3394 b=2.5623 c=4.4810 alpha=90.00 beta=99.50 gamma=90.00
Last column: nearest neighbours and their distance in Å.
Space group Cm (No. 8)
Inequivalent atoms, fractional coordinates:
Co 0.0000 0.0000 0.0000 (multiplicity 2)  3 Os 2.42-2.44, 7 Cu 2.56-2.67, 2 Co 2.56
Cu 0.0003 0.5000 0.4939 (multiplicity 2)  5 Cu 2.41-2.56, 4 Co 2.56-2.61, 3 Os 2.63-2.66
Cu 0.2517 0.0000 0.7010 (multiplicity 2)  5 Cu 2.41-2.56, 4 Os 2.55-2.61, 3 Co 2.61-2.67
Os 0.2449 0.5000 0.1907 (multiplicity 2)  3 Co 2.42-2.44, 7 Cu 2.55-2.66, 2 Os 2.56



Which structure is the most stable? The one labeled model 2.



Model 1:
The following is a DFT calculation (meta-GGA SCAN) of TlW2Au at its PBEsol-relaxed geometry.

## Properties
crystal system: monoclinic

Unit cell a=2.7944 b=4.6549 c=5.4912 alpha=90.00 beta=103.77 gamma=90.00
Last column: nearest neighbours and their distance in Å.
Space group P2/m (No. 10)
Inequivalent atoms, fractional coordinates:
Tl 0.0000 0.0000 0.0000 (multiplicity 1)  2 Au 2.77, 2 Tl 2.79, 4 W 2.89
W 0.2459 0.5000 0.7433 (multiplicity 2)  4 W 2.70-2.84, 2 Au 2.86, 2 Tl 2.89
Au 0.5000 0.0000 0.5000 (multiplicity 1)  2 Tl 2.77, 2 Au 2.79, 4 W 2.86



Model 2:
The following is a DFT calculation (meta-GGA SCAN) of TlW2Au at its PBEsol-relaxed geometry.

## Properties
crystal system: tetragonal

Unit cell a=2.8277 b=2.8277 c=8.6251 alpha=90.00 beta=90.00 gamma=90.00
Last column: nearest neighbours and their distance in Å.
Space group P4/mmm (No. 123)
Inequivalent atoms, fractional coordinates:
Tl 0.0000 0.0000 0.0000 (multiplicity 1)  4 Tl 2.83, 8 W 3.03
W 0.5000 0.5000 0.2643 (multiplicity 2)  4 W 2.83, 4 Au 2.85, 4 Tl 3.03
Au 0.0000 0.0000 0.5000 (multiplicity 1)  4 Au 2.83, 8 W 2.85



Which structure is the most stable? The one labeled model 1.



Model 1:
The following is a DFT calculation (meta-GGA SCAN) of Os2RuRh at its PBEsol-relaxed geometry.

## Properties
crystal system: cubic

Unit cell a=6.0792 b=6.0792 c=6.0792 alpha=90.00 beta=90.00 gamma=90.00
Last column: nearest neighbours and their distance in Å.
Space group F-43m (No. 216)
Inequivalent atoms, fractional coordinates:
Os 0.0000 0.0000 0.0000 (multiplicity 4)  4 Os 2.63, 4 Rh 2.63
Os 0.2500 0.2500 0.2500 (multiplicity 4)  4 Ru 2.63, 4 Os 2.63
Ru 0.0000 0.0000 0.5000 (multiplicity 4)  4 Os 2.63, 4 Rh 2.63
Rh 0.2500 0.2500 0.7500 (multiplicity 4)  4 Ru 2.63, 4 Os 2.63



Model 2:
The following is a DFT calculation (meta-GGA SCAN) of Os2RuRh at its PBEsol-relaxed geometry.

## Properties
crystal system: tetragonal

Unit cell a=2.6796 b=2.6796 c=7.6274 alpha=90.00 beta=90.00 gamma=90.00
Last column: nearest neighbours and their distance in Å.
Space group P4mm (No. 99)
Inequivalent atoms, fractional coordinates:
Os 0.0000 0.0000 0.0000 (multiplicity 1)  4 Ru 2.67, 8 Os 2.68-2.69
Os 0.5000 0.5000 0.2504 (multiplicity 1)  8 Os 2.68-2.69, 4 Rh 2.70
Ru 0.5000 0.5000 0.7528 (multiplicity 1)  4 Os 2.67, 4 Ru 2.68, 4 Rh 2.69
Rh 0.0000 0.0000 0.5017 (multiplicity 1)  4 Rh 2.68, 4 Ru 2.69, 4 Os 2.70



Which structure is the most stable? The one labeled model 2.



Model 1:
The following is a DFT calculation (meta-GGA SCAN) of La2AlTe at its PBEsol-relaxed geometry.

## Properties
crystal system: orthorhombic

Unit cell a=6.7960 b=8.4798 c=3.8354 alpha=90.00 beta=90.00 gamma=90.00
Last column: nearest neighbours and their distance in Å.
Space group Cmmm (No. 65)
Inequivalent atoms, fractional coordinates:
La 0.2500 0.2500 0.0000 (multiplicity 4)  4 Te 3.33, 4 Al 3.33, 2 La 3.40
Al 0.0000 0.0000 0.5000 (multiplicity 2)  8 La 3.33, 2 Te 3.40
Te 0.0000 0.5000 0.5000 (multiplicity 2)  8 La 3.33, 2 Al 3.40



Model 2:
The following is a DFT calculation (meta-GGA SCAN) of La2AlTe at its PBEsol-relaxed geometry.

## Properties
crystal system: monoclinic

Unit cell a=11.7781 b=4.1808 c=4.8130 alpha=90.00 beta=94.87 gamma=90.00
Last column: nearest neighbours and their distance in Å.
Space group Cm (No. 8)
Inequivalent atoms, fractional coordinates:
La 0.0000 0.0000 0.0000 (multiplicity 2)  1 Al 3.09, 4 Te 3.21-3.24
La 0.2326 0.5000 0.5262 (multiplicity 2)  4 Al 3.20-3.21, 3 Te 3.24-3.38
Al 0.2630 0.0000 0.0336 (multiplicity 2)  1 Te 3.02, 5 La 3.09-3.21
Te 0.4567 0.0000 0.4873 (multiplicity 2)  1 Al 3.02, 5 La 3.21-3.24



Which structure is the most stable? The one labeled model 2.



Model 1:
The following is a DFT calculation (meta-GGA SCAN) of ZrGeSbI2 at its PBEsol-relaxed geometry.

## Properties
crystal system: tetragonal

Unit cell a=5.3258 b=5.3258 c=5.4177 alpha=90.00 beta=90.00 gamma=90.00
Last column: nearest neighbours and their distance in Å.
Space group P4/mmm (No. 123)
Inequivalent atoms, fractional coordinates:
Zr 0.0000 0.0000 0.0000 (multiplicity 1)  4 Sb 3.77, 8 I 3.80
Ge 0.5000 0.5000 0.5000 (multiplicity 1)  4 I 2.66, 2 Sb 2.71
Sb 0.5000 0.5000 0.0000 (multiplicity 1)  2 Ge 2.71
I 0.0000 0.5000 0.5000 (multiplicity 2)  2 Ge 2.66



Model 2:
The following is a DFT calculation (meta-GGA SCAN) of ZrGeSbI2 at its PBEsol-relaxed geometry.

## Properties
crystal system: tetragonal

Unit cell a=5.4776 b=5.4776 c=5.7347 alpha=90.00 beta=90.00 gamma=90.00
Last column: nearest neighbours and their distance in Å.
Space group P4/mmm (No. 123)
Inequivalent atoms, fractional coordinates:
Zr 0.0000 0.0000 0.0000 (multiplicity 1)  4 I 2.74, 2 Sb 2.87
Ge 0.5000 0.5000 0.5000 (multiplicity 1)  4 Sb 3.87, 8 I 3.97
Sb 0.0000 0.0000 0.5000 (multiplicity 1)  2 Zr 2.87
I 0.0000 0.5000 0.0000 (multiplicity 2)  2 Zr 2.74



Which structure is the most stable? The one labeled model 2.